No. 1
Dy6Er5Th | GGA-PBE | relaxed

## Properties
Energy of formation: 0.12 eV/atom
DOS(E_F): 1.79 states/eV/atom
Total energy: -56.36 eV/cell
Spin magnetization: 0.000 μB per atom
Space group: Immm

Cell: 10.0400 10.0400 5.7780 Å, 106.71 106.71 124.49°
Last column: nearest neighbours and their distance in Å.
Element x y z (fractional)
Er (0.8456, 0.1544, 0.5000)  8 Dy 3.30-3.48, 2 Er 3.68
Er (0.6550, 0.3450, 0.0000)  8 Dy 3.32-3.46, 2 Er 3.68
Er (0.5000, 0.5000, 0.5000)  8 Dy 3.43-3.69, 2 Th 3.68
Er (0.3450, 0.6550, 0.0000)  8 Dy 3.32-3.46, 2 Er 3.68
Er (0.1544, 0.8456, 0.5000)  8 Dy 3.30-3.48, 2 Er 3.68
Th (0.0000, 0.0000, 0.0000)  8 Dy 3.42-3.68, 2 Er 3.68
Dy (0.4278, 0.0686, 0.2482)  7 Er 3.45-3.69, 4 Dy 3.65-3.82, 1 Th 3.68
Dy (0.9314, 0.5722, 0.7518)  7 Er 3.45-3.69, 4 Dy 3.65-3.82, 1 Th 3.68
Dy (0.2490, 0.2490, 0.7491)  6 Er 3.30-3.43, 2 Th 3.42, 2 Dy 3.66-3.69
Dy (0.7510, 0.7510, 0.2509)  6 Er 3.30-3.43, 2 Th 3.42, 2 Dy 3.66-3.69
Dy (0.0686, 0.4278, 0.2482)  7 Er 3.45-3.69, 4 Dy 3.65-3.82, 1 Th 3.68
Dy (0.5722, 0.9314, 0.7518)  7 Er 3.45-3.69, 4 Dy 3.65-3.82, 1 Th 3.68

No. 2
Sr2TlInF8 | GGA-PBE | relaxed

## Properties
DOS(E_F): 0.00 states/eV/atom
Total energy: -60.31 eV/cell
Spin magnetization: 0.000 μB per atom
Space group: P2/m

Cell: 4.3726 5.7440 8.1704 Å, 90.00 90.00 97.02°
Last column: nearest neighbours and their distance in Å.
Element x y z (fractional)
Sr (0.5000, 0.5000, 0.7525)  8 F 2.44-2.67
Sr (0.5000, 0.5000, 0.2475)  8 F 2.44-2.67
Tl (0.0000, 0.0000, 0.5000)  8 F 2.69-2.89
In (0.0000, 0.0000, 0.0000)  6 F 2.15
F (0.0454, 0.7536, 0.1943)  1 In 2.15
F (0.5659, 0.7784, 0.0000)  1 In 2.15
F (0.9546, 0.2463, 0.1943)  1 In 2.15
F (0.9546, 0.2464, 0.8057)  1 In 2.15
F (0.4341, 0.2216, 0.0000)  1 In 2.15
F (0.0454, 0.7537, 0.8057)  1 In 2.15
F (0.4577, 0.7210, 0.5000)  2 Sr 2.44, 1 F 2.61, 2 Tl 2.69-2.71
F (0.5423, 0.2790, 0.5000)  2 Sr 2.44, 1 F 2.61, 2 Tl 2.69-2.71

No. 3
V2GeOs | GGA-PBE | relaxed

## Properties
Energy of formation: -0.14 eV/atom
DOS(E_F): 0.99 states/eV/atom
Total energy: -34.66 eV/cell
Spin magnetization: 0.000 μB per atom
Space group: P4/mmm

Cell: 3.9615 3.7369 3.7369 Å, 90.00 90.00 90.00°
Last column: nearest neighbours and their distance in Å.
Element x y z (fractional)
Ge (0.5000, 0.0000, 0.0000)  4 Os 2.64, 8 V 2.72
Os (0.5000, 0.5000, 0.5000)  4 Ge 2.64, 8 V 2.72
V (0.0000, 0.0000, 0.5000)  4 V 2.64, 4 Ge 2.72, 4 Os 2.72
V (0.0000, 0.5000, 0.0000)  4 V 2.64, 4 Os 2.72, 4 Ge 2.72

No. 4
BeSnC3 | GGA-PBE | relaxed

## Properties
Energy of formation: 2.27 eV/atom
DOS(E_F): 0.39 states/eV/atom
Total energy: -24.07 eV/cell
Spin magnetization: 0.000 μB per atom
Space group: Pm-3m

Cell: 3.7580 3.7580 3.7580 Å, 90.00 90.00 90.00°
Last column: nearest neighbours and their distance in Å.
Element x y z (fractional)
Be (0.0000, 0.0000, 0.0000)  6 C 1.88
C (0.0000, 0.5000, 0.0000)  2 Be 1.88
C (0.0000, 0.0000, 0.5000)  2 Be 1.88
C (0.5000, 0.0000, 0.0000)  2 Be 1.88
Sn (0.5000, 0.5000, 0.5000)  12 C 2.66

No. 5
RbBSb3 | GGA-PBE | relaxed

## Properties
DOS(E_F): 1.46 states/eV/atom
Total energy: -8.38 eV/cell
Energy above the lowest structure with this stoichiometry: 1.753 eV per atom
Spin magnetization: 0.000 μB per atom
Space group: Pm-3m

Cell: 6.0450 6.0450 6.0450 Å, 90.00 90.00 90.00°
Last column: nearest neighbours and their distance in Å.
Element x y z (fractional)
Sb (0.0000, 0.5000, 0.0000)  2 Rb 3.02
Sb (0.0000, 0.0000, 0.5000)  2 Rb 3.02
Sb (0.5000, 0.0000, 0.0000)  2 Rb 3.02
B (0.5000, 0.5000, 0.5000)  12 Sb 4.27
Rb (0.0000, 0.0000, 0.0000)  6 Sb 3.02

No. 6
BaNa3S | GGA-PBE | relaxed

## Properties
DOS(E_F): 0.71 states/eV/atom
Total energy: -11.73 eV/cell
Energy above the lowest structure with this stoichiometry: 0.000 eV per atom
Spin magnetization: 0.213 μB per atom
Space group: Pm-3m

Cell: 5.6471 5.6471 5.6471 Å, 90.00 90.00 90.00°
Last column: nearest neighbours and their distance in Å.
Element x y z (fractional)
Na (0.0000, 0.5000, 0.0000)  2 S 2.82
Na (0.0000, 0.0000, 0.5000)  2 S 2.82
Na (0.5000, 0.0000, 0.0000)  2 S 2.82
S (0.0000, 0.0000, 0.0000)  6 Na 2.82
Ba (0.5000, 0.5000, 0.5000)  12 Na 3.99

No. 7
Ce2ThZn8 | GGA-PBE | relaxed

## Properties
Energy of formation: -0.22 eV/atom
DOS(E_F): 1.14 states/eV/atom
Total energy: -31.94 eV/cell
Spin magnetization: 0.084 μB per atom
Space group: Immm

Cell: 4.9294 6.1535 8.2937 Å, 111.78 107.29 89.99°
Last column: nearest neighbours and their distance in Å.
Element x y z (fractional)
Ce (0.6916, 0.6916, 0.3832)  12 Zn 2.90-3.18
Ce (0.3084, 0.3084, 0.6168)  12 Zn 2.90-3.18
Th (0.5000, 0.0000, 0.0000)  14 Zn 2.98-3.32
Zn (0.1197, 0.3420, 0.2386)  3 Zn 2.73-2.74
Zn (0.8811, 0.1034, 0.7614)  3 Zn 2.73-2.74
Zn (0.7524, 0.4996, 0.0000)  6 Zn 2.44-2.73
Zn (0.7040, 0.2040, 0.4081)  4 Ce 2.90-3.08, 1 Th 2.98, 6 Zn 3.08-3.09
Zn (0.2960, 0.7960, 0.5919)  4 Ce 2.90-3.08, 1 Th 2.98, 6 Zn 3.08-3.09
Zn (0.2476, 0.5004, 0.0000)  6 Zn 2.44-2.73
Zn (0.1189, 0.8966, 0.2386)  3 Zn 2.73-2.74
Zn (0.8803, 0.6580, 0.7614)  3 Zn 2.73-2.74

No. 8
Li12AcAg6 | GGA-PBE | relaxed

## Properties
Energy of formation: -0.09 eV/atom
DOS(E_F): 0.38 states/eV/atom
Total energy: -45.84 eV/cell
Spin magnetization: 0.000 μB per atom
Space group: R-3m

Cell: 7.4455 7.4455 7.4455 Å, 102.46 102.46 102.46°
Last column: nearest neighbours and their distance in Å.
Element x y z (fractional)
Li (0.8879, 0.1121, 0.5000)  4 Ag 2.54-2.66, 1 Li 2.60
Li (0.8348, 0.5614, 0.5614)  3 Ag 2.76-2.83, 3 Li 3.02-3.05
Li (0.5614, 0.5614, 0.8348)  3 Ag 2.76-2.83, 3 Li 3.02-3.05
Li (0.4386, 0.1652, 0.4386)  3 Ag 2.76-2.83, 3 Li 3.02-3.05
Li (0.4386, 0.4386, 0.1652)  3 Ag 2.76-2.83, 3 Li 3.02-3.05
Li (0.1652, 0.4386, 0.4386)  3 Ag 2.76-2.83, 3 Li 3.02-3.05
Li (0.1121, 0.5000, 0.8879)  4 Ag 2.54-2.66, 1 Li 2.60
Li (0.5000, 0.8879, 0.1121)  4 Ag 2.54-2.66, 1 Li 2.60
Li (0.1121, 0.8879, 0.5000)  4 Ag 2.54-2.66, 1 Li 2.60
Li (0.8879, 0.5000, 0.1121)  4 Ag 2.54-2.66, 1 Li 2.60
Li (0.5000, 0.1121, 0.8879)  4 Ag 2.54-2.66, 1 Li 2.60
Li (0.5614, 0.8348, 0.5614)  3 Ag 2.76-2.83, 3 Li 3.02-3.05
Ac (0.0000, 0.0000, 0.0000)  6 Ag 3.59, 18 Li 3.84-3.94
Ag (0.7222, 0.2468, 0.2468)  7 Li 2.54-2.83
Ag (0.2468, 0.2468, 0.7222)  7 Li 2.54-2.83
Ag (0.2468, 0.7222, 0.2468)  7 Li 2.54-2.83
Ag (0.7532, 0.7532, 0.2778)  7 Li 2.54-2.83
Ag (0.2778, 0.7532, 0.7532)  7 Li 2.54-2.83
Ag (0.7532, 0.2778, 0.7532)  7 Li 2.54-2.83

No. 9
HoSc5Ir6 | GGA-PBE | relaxed

## Properties
Energy of formation: -0.97 eV/atom
DOS(E_F): 0.29 states/eV/atom
Total energy: -101.07 eV/cell
Spin magnetization: 0.000 μB per atom
Space group: Cmmm

Cell: 4.6165 6.5117 7.3008 Å, 90.00 71.57 90.00°
Last column: nearest neighbours and their distance in Å.
Element x y z (fractional)
Sc (0.6669, 0.5000, 0.6662)  8 Ir 2.77-2.81
Sc (0.3318, 0.0000, 0.3364)  8 Ir 2.79-2.88
Sc (0.0000, 0.5000, 0.0000)  8 Ir 2.79-2.84
Sc (0.6682, 0.0000, 0.6636)  8 Ir 2.79-2.88
Sc (0.3331, 0.5000, 0.3338)  8 Ir 2.77-2.81
Ir (0.8304, 0.7461, 0.3392)  7 Sc 2.77-2.84, 1 Ho 2.87
Ir (0.8304, 0.2539, 0.3392)  7 Sc 2.77-2.84, 1 Ho 2.87
Ir (0.5000, 0.2587, 0.0000)  6 Sc 2.79-2.88, 2 Ho 2.86
Ir (0.5000, 0.7413, 0.0000)  6 Sc 2.79-2.88, 2 Ho 2.86
Ir (0.1696, 0.7461, 0.6608)  7 Sc 2.77-2.84, 1 Ho 2.87
Ir (0.1696, 0.2539, 0.6608)  7 Sc 2.77-2.84, 1 Ho 2.87
Ho (0.0000, 0.0000, 0.0000)  8 Ir 2.86-2.87

No. 10
La3GaHg | GGA-PBE | relaxed

## Properties
Energy of formation: -0.40 eV/atom
DOS(E_F): 1.17 states/eV/atom
Total energy: -40.26 eV/cell
Energy above the lowest structure with this stoichiometry: 0.006 eV per atom
Spin magnetization: 0.000 μB per atom
Space group: Cmcm

Cell: 5.4970 5.5221 10.2774 Å, 90.00 74.49 90.00°
Last column: nearest neighbours and their distance in Å.
Element x y z (fractional)
La (0.7558, 0.2500, 0.1367)  2 Ga 3.20, 2 Hg 3.22
La (0.3808, 0.2500, 0.8868)  2 Ga 3.33, 2 Hg 3.33, 4 La 3.56-3.70
La (0.5702, 0.2500, 0.5079)  4 Hg 3.32-3.42, 4 Ga 3.34-3.43, 1 La 3.68
La (0.2676, 0.7500, 0.1132)  2 Ga 3.33, 2 Hg 3.33, 4 La 3.56-3.70
La (0.8925, 0.7500, 0.8633)  2 Ga 3.20, 2 Hg 3.22
La (0.0781, 0.7500, 0.4921)  4 Hg 3.32-3.42, 4 Ga 3.34-3.43, 1 La 3.68
Ga (0.4749, 0.7500, 0.6985)  8 La 3.20-3.43
Ga (0.1734, 0.2500, 0.3015)  8 La 3.20-3.43
Hg (0.6723, 0.7500, 0.3038)  8 La 3.22-3.42
Hg (0.9761, 0.2500, 0.6962)  8 La 3.22-3.42

No. 11
La2CrW | GGA-PBE | relaxed

## Properties
Energy of formation: 0.62 eV/atom
DOS(E_F): 1.38 states/eV/atom
Total energy: -29.95 eV/cell
Energy above the lowest structure with this stoichiometry: 0.224 eV per atom
Spin magnetization: 0.000 μB per atom
Space group: Cmm2

Cell: 3.0819 3.0819 10.4754 Å, 90.00 90.00 113.92°
Last column: nearest neighbours and their distance in Å.
Element x y z (fractional)
Cr (0.5000, 0.5000, 0.7117)  2 W 2.39
La (0.0000, 0.0000, 0.9429)  2 Cr 2.95, 4 La 3.08
La (0.5000, 0.5000, 0.2963)  6 La 3.08-3.36, 2 W 3.14
W (0.0000, 0.0000, 0.5491)  2 Cr 2.39

No. 12
NbCd2PbC | GGA-PBE | relaxed

## Properties
Energy of formation: 2.09 eV/atom
DOS(E_F): 0.85 states/eV/atom
Total energy: -14.37 eV/cell
Spin magnetization: 0.098 μB per atom
Space group: P4/mmm

Cell: 5.5412 5.5603 5.5412 Å, 90.00 90.00 90.00°
Last column: nearest neighbours and their distance in Å.
Element x y z (fractional)
Pb (0.0000, 0.5000, 0.0000)  2 Nb 2.78
Nb (0.0000, 0.0000, 0.0000)  4 Cd 2.77, 2 Pb 2.78
C (0.5000, 0.5000, 0.5000)  4 Pb 3.92, 8 Cd 3.92
Cd (0.0000, 0.0000, 0.5000)  2 Nb 2.77
Cd (0.5000, 0.0000, 0.0000)  2 Nb 2.77